{
  "formula": "HoSbIr",
  "functional": "PBE",
  "state": "optimized geometry",
  "lattice_angstrom": [[5.7103, 0.0000, 0.0000], [0.0000, 4.4794, 0.0000], [0.0000, 0.0000, 10.5952]],
  "species": ["Ho", "Ho", "Ho", "Ho", "Ir", "Ir", "Ir", "Ir", "Sb", "Sb", "Sb", "Sb"],
  "frac_coords": [[0.1352, 0.7500, 0.1149], [0.6352, 0.7500, 0.3851], [0.3648, 0.2500, 0.6149], [0.8648, 0.2500, 0.8851], [0.6530, 0.7500, 0.0439], [0.1530, 0.7500, 0.4561], [0.8470, 0.2500, 0.5439], [0.3470, 0.2500, 0.9561], [0.6275, 0.2500, 0.1676], [0.1275, 0.2500, 0.3324], [0.8725, 0.7500, 0.6676], [0.3725, 0.7500, 0.8324]],
  "e_tot_ev_per_atom": -6.61,
  "magmom_total_mub_per_atom": 0.000
}

***

{
  "formula": "NdErCd4",
  "functional": "PBE",
  "state": "optimized geometry",
  "lattice_angstrom": [[3.3953, 0.0000, 0.0000], [0.0000, 4.9955, 0.0000], [-0.0023, 0.0000, 8.6623]],
  "species": ["Cd", "Cd", "Cd", "Cd", "Er", "Nd"],
  "frac_coords": [[0.4968, 0.5000, 0.1633], [0.5030, 0.0000, 0.3296], [0.4970, 0.0000, 0.6704], [0.5032, 0.5000, 0.8367], [0.0000, 0.0000, 0.0000], [0.0000, 0.5000, 0.5000]],
  "e_tot_ev_per_atom": -2.48,
  "formation_enthalpy_0k_kj_per_mol_fu": -191,
  "magmom_total_mub_per_atom": 0.003
}

***

{
  "formula": "BaScHgAu",
  "functional": "PBE",
  "state": "optimized geometry",
  "lattice_angstrom": [[0.0000, 3.6683, 3.6683], [3.6683, 0.0000, 3.6683], [3.6683, 3.6683, 0.0000]],
  "species": ["Au", "Ba", "Hg", "Sc"],
  "frac_coords": [[0.7500, 0.7500, 0.7500], [0.2500, 0.2500, 0.2500], [0.5000, 0.5000, 0.5000], [0.0000, 0.0000, 0.0000]],
  "e_tot_ev_per_atom": -3.09,
  "magmom_total_mub_per_atom": 0.000
}

***

{
  "formula": "NdDyGa2I2",
  "functional": "PBE",
  "state": "optimized geometry",
  "lattice_angstrom": [[-2.2670, -1.3031, 3.3536], [-0.2996, -2.0696, -3.7029], [9.2908, -7.4219, 3.3967]],
  "species": ["Dy", "Ga", "Ga", "I", "I", "Nd"],
  "frac_coords": [[0.0000, 0.0000, 0.6661], [0.6667, 0.3333, 0.4775], [0.3333, 0.6667, 0.5310], [0.3333, 0.6667, 0.1653], [0.6667, 0.3333, 0.8261], [0.0000, 0.0000, 0.3340]],
  "e_tot_ev_per_atom": -4.14,
  "magmom_total_mub_per_atom": 0.001
}

***

{
  "formula": "ErZnPd",
  "functional": "PBE",
  "state": "optimized geometry",
  "lattice_angstrom": [[4.4497, 0.0000, 0.0000], [-2.2248, 3.8535, 0.0000], [0.0000, 0.0000, 6.8504]],
  "species": ["Er", "Er", "Pd", "Pd", "Zn", "Zn"],
  "frac_coords": [[0.0000, 0.0000, 0.2497], [0.0000, 0.0000, 0.7497], [0.3333, 0.6667, 0.0047], [0.6667, 0.3333, 0.5047], [0.3333, 0.6667, 0.4957], [0.6667, 0.3333, 0.9957]],
  "e_tot_ev_per_atom": -4.38,
  "formation_enthalpy_0k_kj_per_mol_fu": -206,
  "magmom_total_mub_per_atom": 0.002
}

***

{
  "formula": "Hf3HgC",
  "functional": "PBE",
  "state": "optimized geometry",
  "lattice_angstrom": [[4.4979, 0.0000, 0.0000], [0.0000, 4.4979, 0.0000], [0.0000, 0.0000, 4.4979]],
  "species": ["C", "Hf", "Hf", "Hf", "Hg"],
  "frac_coords": [[0.0000, 0.0000, 0.0000], [0.5000, 0.0000, 0.0000], [0.0000, 0.5000, 0.0000], [0.0000, 0.0000, 0.5000], [0.5000, 0.5000, 0.5000]],
  "e_tot_ev_per_atom": -8.33,
  "magmom_total_mub_per_atom": 0.001
}

***

{
  "formula": "TmMoC3",
  "functional": "PBE",
  "state": "optimized geometry",
  "lattice_angstrom": [[5.8962, 0.0000, 0.0000], [0.0000, 3.1914, 0.0000], [-0.9485, 0.0000, 5.8649]],
  "species": ["C", "C", "C", "C", "C", "C", "Mo", "Mo", "Tm", "Tm"],
  "frac_coords": [[0.4391, 0.7500, 0.0003], [0.2215, 0.7500, 0.0675], [0.7298, 0.2500, 0.4911], [0.2702, 0.7500, 0.5089], [0.7785, 0.2500, 0.9325], [0.5609, 0.2500, 0.9997], [0.3853, 0.2500, 0.3072], [0.6147, 0.7500, 0.6928], [0.8940, 0.7500, 0.2447], [0.1060, 0.2500, 0.7553]],
  "e_tot_ev_per_atom": -8.49,
  "magmom_total_mub_per_atom": 0.001
}

***

{
  "formula": "Er5Lu2Te2Pd2",
  "functional": "PBE",
  "state": "optimized geometry",
  "lattice_angstrom": [[-2.7216, -8.2632, -3.3140], [8.0437, 0.4483, 4.6656], [-9.2400, -0.6207, -0.9524]],
  "species": ["Er", "Er", "Er", "Er", "Er", "Lu", "Lu", "Pd", "Pd", "Te", "Te"],
  "frac_coords": [[0.0004, 0.0004, 0.0000], [0.5480, 0.4179, 0.1301], [0.9436, 0.6267, 0.3169], [0.3098, 0.6267, 0.6831], [0.2878, 0.4179, 0.8699], [0.6235, 0.2671, 0.3564], [0.9107, 0.2671, 0.6436], [0.1659, 0.9303, 0.2356], [0.6947, 0.9303, 0.7644], [0.6630, 0.6630, 0.0000], [0.2660, 0.7660, 0.5000]],
  "e_tot_ev_per_atom": -5.25,
  "magmom_total_mub_per_atom": 0.001
}

***

{
  "formula": "KDyAs",
  "functional": "PBE",
  "state": "optimized geometry",
  "lattice_angstrom": [[-0.9464, 2.1758, 3.6558], [-2.9004, -0.1682, -3.2486], [-5.8341, -12.3656, 5.8492]],
  "species": ["As", "As", "Dy", "Dy", "K", "K"],
  "frac_coords": [[0.6667, 0.3333, 0.3250], [0.3333, 0.6667, 0.8250], [0.0000, 0.0000, 0.2481], [0.0000, 0.0000, 0.7481], [0.3333, 0.6667, 0.4818], [0.6667, 0.3333, 0.9818]],
  "e_tot_ev_per_atom": -3.98,
  "magmom_total_mub_per_atom": 0.342
}

***

{
  "formula": "KTbGaSe3",
  "functional": "PBE",
  "state": "optimized geometry",
  "lattice_angstrom": [[2.2782, -7.1710, 0.0000], [2.2782, 7.1710, 0.0000], [0.0000, 0.0000, 10.9818]],
  "species": ["Ga", "Ga", "K", "K", "Se", "Se", "Se", "Se", "Se", "Se", "Tb", "Tb"],
  "frac_coords": [[0.4855, 0.5145, 0.2500], [0.5145, 0.4855, 0.7500], [0.7502, 0.2498, 0.2500], [0.2498, 0.7502, 0.7500], [0.3771, 0.6229, 0.0665], [0.0670, 0.9330, 0.2500], [0.3771, 0.6229, 0.4335], [0.6229, 0.3771, 0.5665], [0.9330, 0.0670, 0.7500], [0.6229, 0.3771, 0.9335], [0.0000, 0.0000, 0.0000], [0.0000, 0.0000, 0.5000]],
  "e_tot_ev_per_atom": -4.43,
  "magmom_total_mub_per_atom": 0.001
}

***

{
  "formula": "SmCdB",
  "functional": "PBE",
  "state": "optimized geometry",
  "lattice_angstrom": [[-3.9078, -0.3391, 2.2841], [-3.6517, -1.8020, -2.0051], [-1.5237, -4.0737, 1.2985]],
  "species": ["B", "Cd", "Sm"],
  "frac_coords": [[0.2500, 0.2500, 0.2500], [0.0000, 0.0000, 0.0000], [0.7500, 0.7500, 0.7500]],
  "e_tot_ev_per_atom": -3.40,
  "magmom_total_mub_per_atom": 0.000
}

***

{
  "formula": "RbZrAgO3",
  "functional": "PBE",
  "state": "optimized geometry",
  "lattice_angstrom": [[1.6740, -7.4857, 0.0000], [1.6740, 7.4857, 0.0000], [0.0000, 0.0000, 8.5211]],
  "species": ["Ag", "Ag", "O", "O", "O", "O", "O", "O", "Rb", "Rb", "Zr", "Zr"],
  "frac_coords": [[0.8815, 0.1185, 0.2500], [0.1185, 0.8815, 0.7500], [0.9078, 0.0922, 0.0101], [0.5235, 0.4765, 0.2500], [0.9078, 0.0922, 0.4899], [0.0922, 0.9078, 0.5101], [0.4765, 0.5235, 0.7500], [0.0922, 0.9078, 0.9899], [0.1824, 0.8176, 0.2500], [0.8176, 0.1824, 0.7500], [0.5000, 0.5000, 0.0000], [0.5000, 0.5000, 0.5000]],
  "e_tot_ev_per_atom": -6.45,
  "magmom_total_mub_per_atom": 0.000
}

***

{
  "formula": "LiPmGd",
  "functional": "PBE",
  "state": "optimized geometry",
  "lattice_angstrom": [[1.3143, -4.1029, 2.7025], [1.6570, 0.5268, 4.7792], [-2.9086, -1.5264, 3.8826]],
  "species": ["Gd", "Li", "Pm"],
  "frac_coords": [[0.2500, 0.2500, 0.2500], [0.0000, 0.0000, 0.0000], [0.7500, 0.7500, 0.7500]],
  "e_tot_ev_per_atom": -3.27,
  "magmom_total_mub_per_atom": 0.534
}

***

{
  "formula": "HoNbPd",
  "functional": "PBE",
  "state": "optimized geometry",
  "lattice_angstrom": [[0.0000, 3.2604, 3.2604], [3.2604, 0.0000, 3.2604], [3.2604, 3.2604, 0.0000]],
  "species": ["Ho", "Nb", "Pd"],
  "frac_coords": [[0.5000, 0.5000, 0.5000], [0.0000, 0.0000, 0.0000], [0.2500, 0.2500, 0.2500]],
  "e_tot_ev_per_atom": -6.46,
  "formation_enthalpy_0k_kj_per_mol_fu": 45,
  "magmom_total_mub_per_atom": 0.262
}

***

{
  "formula": "CsPrIr",
  "functional": "PBE",
  "state": "optimized geometry",
  "lattice_angstrom": [[2.5756, 1.4871, 4.2060], [-2.5756, 1.4871, 4.2060], [0.0000, -2.9741, 4.2060]],
  "species": ["Cs", "Ir", "Pr"],
  "frac_coords": [[0.7500, 0.7500, 0.7500], [0.0000, 0.0000, 0.0000], [0.2500, 0.2500, 0.2500]],
  "e_tot_ev_per_atom": -4.43,
  "magmom_total_mub_per_atom": 0.001
}

***

{
  "formula": "LuScGaNi",
  "functional": "PBE",
  "state": "optimized geometry",
  "lattice_angstrom": [[0.0000, 3.2842, 3.2842], [3.2842, 0.0000, 3.2842], [3.2842, 3.2842, 0.0000]],
  "species": ["Ga", "Lu", "Ni", "Sc"],
  "frac_coords": [[0.0000, 0.0000, 0.0000], [0.5000, 0.5000, 0.5000], [0.7500, 0.7500, 0.7500], [0.2500, 0.2500, 0.2500]],
  "e_tot_ev_per_atom": -5.08,
  "magmom_total_mub_per_atom": 0.214
}

***

{
  "formula": "SnAsAuO",
  "functional": "PBE",
  "state": "optimized geometry",
  "lattice_angstrom": [[4.5574, 0.0000, 0.0000], [0.0000, 4.5574, 0.0000], [0.0000, 0.0000, 8.5297]],
  "species": ["As", "As", "Au", "Au", "O", "O", "Sn", "Sn"],
  "frac_coords": [[0.0000, 0.5000, 0.3056], [0.5000, 0.0000, 0.6944], [0.5000, 0.0000, 0.0110], [0.0000, 0.5000, 0.9890], [0.0000, 0.0000, 0.0000], [0.5000, 0.5000, 0.0000], [0.0000, 0.0000, 0.5000], [0.5000, 0.5000, 0.5000]],
  "e_tot_ev_per_atom": -3.97
}

***

{
  "formula": "CoCuSbPt",
  "functional": "PBE",
  "state": "optimized geometry",
  "lattice_angstrom": [[0.0000, 3.1063, 3.1063], [3.1063, 0.0000, 3.1063], [3.1063, 3.1063, 0.0000]],
  "species": ["Co", "Cu", "Pt", "Sb"],
  "frac_coords": [[0.7500, 0.7500, 0.7500], [0.5000, 0.5000, 0.5000], [0.2500, 0.2500, 0.2500], [0.0000, 0.0000, 0.0000]],
  "e_tot_ev_per_atom": -5.26,
  "magmom_total_mub_per_atom": 0.342
}

***

{
  "formula": "CuTcSnHg",
  "functional": "PBE",
  "state": "optimized geometry",
  "lattice_angstrom": [[0.0000, 3.2654, 3.2654], [3.2654, 0.0000, 3.2654], [3.2654, 3.2654, 0.0000]],
  "species": ["Cu", "Hg", "Sn", "Tc"],
  "frac_coords": [[0.7500, 0.7500, 0.7500], [0.5000, 0.5000, 0.5000], [0.0000, 0.0000, 0.0000], [0.2500, 0.2500, 0.2500]],
  "e_tot_ev_per_atom": -4.18,
  "magmom_total_mub_per_atom": 0.001
}

***

{
  "formula": "BaPm2Se4",
  "functional": "PBE",
  "state": "optimized geometry",
  "lattice_angstrom": [[-4.3219, 4.6989, -3.6143], [0.2812, -5.5698, 4.7665], [1.0901, 9.4203, 10.9437]],
  "species": ["Ba", "Ba", "Pm", "Pm", "Pm", "Pm", "Se", "Se", "Se", "Se", "Se", "Se", "Se", "Se"],
  "frac_coords": [[0.1105, 0.8895, 0.2500], [0.8895, 0.1105, 0.7500], [0.3656, 0.6344, 0.0673], [0.3656, 0.6344, 0.4327], [0.6344, 0.3656, 0.5673], [0.6344, 0.3656, 0.9327], [0.0000, 0.0000, 0.0000], [0.7322, 0.2678, 0.1140], [0.4415, 0.5585, 0.2500], [0.7322, 0.2678, 0.3860], [0.0000, 0.0000, 0.5000], [0.2678, 0.7322, 0.6140], [0.5585, 0.4415, 0.7500], [0.2678, 0.7322, 0.8860]],
  "e_tot_ev_per_atom": -5.58,
  "magmom_total_mub_per_atom": 0.000
}

***

{
  "formula": "AlCo3",
  "functional": "PBE",
  "state": "optimized geometry",
  "lattice_angstrom": [[2.5220, -4.3685, 0.0000], [2.5220, 4.3685, 0.0000], [0.0000, 0.0000, 4.0827]],
  "species": ["Al", "Al", "Co", "Co", "Co", "Co", "Co", "Co"],
  "frac_coords": [[0.1667, 0.8333, 0.2500], [0.8333, 0.1667, 0.7500], [0.1690, 0.3345, 0.2500], [0.6655, 0.3345, 0.2500], [0.6655, 0.8310, 0.2500], [0.3345, 0.1690, 0.7500], [0.3345, 0.6655, 0.7500], [0.8310, 0.6655, 0.7500]],
  "e_tot_ev_per_atom": -6.47,
  "magmom_total_mub_per_atom": 0.926
}

***

{
  "formula": "Tb3Al2GaNiGe2",
  "functional": "PBE",
  "state": "optimized geometry",
  "lattice_angstrom": [[4.1833, 0.0000, 0.0000], [0.0000, 6.0006, 3.5094], [0.0000, -6.0006, 3.5094]],
  "species": ["Al", "Al", "Ga", "Ge", "Ge", "Ni", "Tb", "Tb", "Tb"],
  "frac_coords": [[0.0000, 0.2295, 0.0021], [0.0000, 0.0021, 0.2295], [0.0000, 0.7739, 0.7739], [0.0000, 0.6658, 0.3263], [0.0000, 0.3263, 0.6658], [0.5000, 0.0082, 0.0082], [0.5000, 0.4044, 0.4044], [0.5000, 0.9944, 0.5955], [0.5000, 0.5955, 0.9944]],
  "e_tot_ev_per_atom": -5.10,
  "magmom_total_mub_per_atom": 0.000
}

***

{
  "formula": "LaCdNO",
  "functional": "PBE",
  "state": "optimized geometry",
  "lattice_angstrom": [[-1.9391, -3.3587, 0.0000], [0.0000, 0.0000, 6.1391], [-5.5337, 3.1949, 0.0000]],
  "species": ["Cd", "Cd", "La", "La", "N", "N", "O", "O"],
  "frac_coords": [[0.0000, 0.5044, 0.3472], [0.0000, 0.0044, 0.6528], [0.5000, 0.0025, 0.1866], [0.5000, 0.5025, 0.8134], [0.0000, 0.8609, 0.3348], [0.0000, 0.3609, 0.6652], [0.5000, 0.3862, 0.1618], [0.5000, 0.8862, 0.8382]],
  "e_tot_ev_per_atom": -6.07,
  "magmom_total_mub_per_atom": 0.000
}

***

{
  "formula": "Zr2ScIn",
  "functional": "PBE",
  "state": "optimized geometry",
  "lattice_angstrom": [[5.2106, 0.0000, 0.0000], [0.0000, 3.1710, 5.5153], [0.0000, -3.1710, 5.5153]],
  "species": ["In", "In", "Sc", "Sc", "Zr", "Zr", "Zr", "Zr"],
  "frac_coords": [[0.0000, 0.8301, 0.3370], [0.0000, 0.3370, 0.8301], [0.0000, 0.3375, 0.3375], [0.5000, 0.6627, 0.6627], [0.5000, 0.6662, 0.1615], [0.5000, 0.1642, 0.1642], [0.5000, 0.1615, 0.6662], [0.0000, 0.8408, 0.8408]],
  "e_tot_ev_per_atom": -6.69,
  "magmom_total_mub_per_atom": 0.003
}

***

{
  "formula": "SrZnHgTe3",
  "functional": "PBE",
  "state": "optimized geometry",
  "lattice_angstrom": [[-8.0745, 1.2597, -8.8618], [-5.4927, 0.3235, 5.0507], [4.9847, 3.8739, -3.9912]],
  "species": ["Hg", "Hg", "Sr", "Sr", "Te", "Te", "Te", "Te", "Te", "Te", "Zn", "Zn"],
  "frac_coords": [[0.0000, 0.0000, 0.0000], [0.5000, 0.0000, 0.0000], [0.7500, 0.7575, 0.2425], [0.2500, 0.2425, 0.7575], [0.2500, 0.9210, 0.0790], [0.0659, 0.6401, 0.3599], [0.4341, 0.6401, 0.3599], [0.5659, 0.3599, 0.6401], [0.9341, 0.3599, 0.6401], [0.7500, 0.0790, 0.9210], [0.2500, 0.5351, 0.4649], [0.7500, 0.4649, 0.5351]],
  "e_tot_ev_per_atom": -2.72
}

***

{
  "formula": "Cu2SeS3",
  "functional": "PBE",
  "state": "optimized geometry",
  "lattice_angstrom": [[-1.7513, -4.1047, -1.7037], [3.1289, -0.6086, -1.7499], [2.1118, -2.8532, 4.7683]],
  "species": ["Cu", "Cu", "S", "S", "S", "Se"],
  "frac_coords": [[0.0153, 0.5000, 0.0127], [0.4913, 0.0000, 0.4897], [0.3167, 0.0000, 0.1109], [0.8253, 0.5000, 0.3976], [0.1704, 0.5000, 0.6014], [0.6811, 0.0000, 0.8878]],
  "e_tot_ev_per_atom": -3.97
}